<P>
First-principles (PBE) data for a relaxed LaFeB crystal, as listed in OQMD.

CIF file:
```
data_LaFeB
_chemical_formula_sum 'La1 Fe1 B1'
_symmetry_space_group_name_H-M 'P 1'
_symmetry_Int_Tables_number 1
_symmetry_space_group_name_Hall 'P 1'
_cell_length_a 4.1665
_cell_length_b 4.1665
_cell_length_c 4.1665
_cell_angle_alpha 60.00
_cell_angle_beta 60.00
_cell_angle_gamma 60.00
loop_
_atom_site_label
_atom_site_fract_x
_atom_site_fract_y
_atom_site_fract_z
_atom_site_occupancy
La1 0.0000 0.0000 0.0000 1
Fe1 0.7500 0.7500 0.7500 1
B1 0.5000 0.5000 0.5000 1
```


<Q>
First-principles (PBE) data for a relaxed LaFeB crystal, as listed in OQMD.

CIF file:
```
data_LaFeB
_chemical_formula_sum 'La1 Fe1 B1'
_symmetry_space_group_name_H-M 'P 1'
_symmetry_Int_Tables_number 1
_symmetry_space_group_name_Hall 'P 1'
_cell_length_a 4.3517
_cell_length_b 4.3517
_cell_length_c 4.3517
_cell_angle_alpha 60.00
_cell_angle_beta 60.00
_cell_angle_gamma 60.00
loop_
_atom_site_label
_atom_site_fract_x
_atom_site_fract_y
_atom_site_fract_z
_atom_site_occupancy
La1 0.0000 0.0000 0.0000 1
Fe1 0.2500 0.2500 0.2500 1
B1 0.7500 0.7500 0.7500 1
```


Most stable: <P> (next structure +750 meV per atom)


<P>
First-principles (PBE) data for a relaxed LiFe2B crystal, as listed in OQMD.

CIF file:
```
data_LiFe2B
_chemical_formula_sum 'Li1 Fe2 B1'
_symmetry_space_group_name_H-M 'P 1'
_symmetry_Int_Tables_number 1
_symmetry_space_group_name_Hall 'P 1'
_cell_length_a 3.7169
_cell_length_b 3.7169
_cell_length_c 3.7169
_cell_angle_alpha 60.00
_cell_angle_beta 60.00
_cell_angle_gamma 60.00
loop_
_atom_site_label
_atom_site_fract_x
_atom_site_fract_y
_atom_site_fract_z
_atom_site_occupancy
Li1 0.0000 0.0000 0.0000 1
Fe1 0.2500 0.2500 0.2500 1
Fe2 0.5000 0.5000 0.5000 1
B1 0.7500 0.7500 0.7500 1
```


<Q>
First-principles (PBE) data for a relaxed LiFe2B crystal, as listed in OQMD.

CIF file:
```
data_LiFe2B
_chemical_formula_sum 'Li4 Fe8 B4'
_symmetry_space_group_name_H-M 'P 1'
_symmetry_Int_Tables_number 1
_symmetry_space_group_name_Hall 'P 1'
_cell_length_a 5.3327
_cell_length_b 5.3327
_cell_length_c 5.3327
_cell_angle_alpha 90.00
_cell_angle_beta 90.00
_cell_angle_gamma 90.00
loop_
_atom_site_label
_atom_site_fract_x
_atom_site_fract_y
_atom_site_fract_z
_atom_site_occupancy
Li1 0.0000 0.0000 0.0000 1
Li2 0.0000 0.0000 0.5000 1
Li3 0.0000 0.5000 0.0000 1
Li4 0.5000 0.0000 0.0000 1
Fe1 0.2735 0.2735 0.2735 1
Fe2 0.2735 0.2735 0.7265 1
Fe3 0.2735 0.7265 0.2735 1
Fe4 0.2735 0.7265 0.7265 1
Fe5 0.7265 0.2735 0.2735 1
Fe6 0.7265 0.2735 0.7265 1
Fe7 0.7265 0.7265 0.2735 1
Fe8 0.7265 0.7265 0.7265 1
B1 0.0000 0.5000 0.5000 1
B2 0.5000 0.0000 0.5000 1
B3 0.5000 0.5000 0.0000 1
B4 0.5000 0.5000 0.5000 1
```


Most stable: <Q> (next structure +57 meV per atom)


<P>
First-principles (PBE) data for a relaxed LiMgFeB crystal, as listed in OQMD.

CIF file:
```
data_LiMgFeB
_chemical_formula_sum 'Li1 Mg1 Fe1 B1'
_symmetry_space_group_name_H-M 'P 1'
_symmetry_Int_Tables_number 1
_symmetry_space_group_name_Hall 'P 1'
_cell_length_a 3.9031
_cell_length_b 3.9031
_cell_length_c 3.9031
_cell_angle_alpha 60.00
_cell_angle_beta 60.00
_cell_angle_gamma 60.00
loop_
_atom_site_label
_atom_site_fract_x
_atom_site_fract_y
_atom_site_fract_z
_atom_site_occupancy
Li1 0.0000 0.0000 0.0000 1
Mg1 0.2500 0.2500 0.2500 1
Fe1 0.7500 0.7500 0.7500 1
B1 0.5000 0.5000 0.5000 1
```


<Q>
First-principles (PBE) data for a relaxed LiMgFeB crystal, as listed in OQMD.

CIF file:
```
data_LiMgFeB
_chemical_formula_sum 'Li1 Mg1 Fe1 B1'
_symmetry_space_group_name_H-M 'P 1'
_symmetry_Int_Tables_number 1
_symmetry_space_group_name_Hall 'P 1'
_cell_length_a 3.9144
_cell_length_b 3.9144
_cell_length_c 3.9144
_cell_angle_alpha 60.00
_cell_angle_beta 60.00
_cell_angle_gamma 60.00
loop_
_atom_site_label
_atom_site_fract_x
_atom_site_fract_y
_atom_site_fract_z
_atom_site_occupancy
Li1 0.0000 0.0000 0.0000 1
Mg1 0.7500 0.7500 0.7500 1
Fe1 0.5000 0.5000 0.5000 1
B1 0.2500 0.2500 0.2500 1
```


Most stable: <P> (next structure +74 meV per atom)


<P>
First-principles (PBE) data for a relaxed LiFeBMo crystal, as listed in OQMD.

CIF file:
```
data_LiFeBMo
_chemical_formula_sum 'Li1 Fe1 B1 Mo1'
_symmetry_space_group_name_H-M 'P 1'
_symmetry_Int_Tables_number 1
_symmetry_space_group_name_Hall 'P 1'
_cell_length_a 3.9045
_cell_length_b 3.9045
_cell_length_c 3.9045
_cell_angle_alpha 60.00
_cell_angle_beta 60.00
_cell_angle_gamma 60.00
loop_
_atom_site_label
_atom_site_fract_x
_atom_site_fract_y
_atom_site_fract_z
_atom_site_occupancy
Li1 0.0000 0.0000 0.0000 1
Fe1 0.2500 0.2500 0.2500 1
B1 0.5000 0.5000 0.5000 1
Mo1 0.7500 0.7500 0.7500 1
```


<Q>
First-principles (PBE) data for a relaxed LiFeBMo crystal, as listed in OQMD.

CIF file:
```
data_LiFeBMo
_chemical_formula_sum 'Li1 Fe1 B1 Mo1'
_symmetry_space_group_name_H-M 'P 1'
_symmetry_Int_Tables_number 1
_symmetry_space_group_name_Hall 'P 1'
_cell_length_a 3.8737
_cell_length_b 3.8737
_cell_length_c 3.8737
_cell_angle_alpha 60.00
_cell_angle_beta 60.00
_cell_angle_gamma 60.00
loop_
_atom_site_label
_atom_site_fract_x
_atom_site_fract_y
_atom_site_fract_z
_atom_site_occupancy
Li1 0.0000 0.0000 0.0000 1
Fe1 0.5000 0.5000 0.5000 1
B1 0.2500 0.2500 0.2500 1
Mo1 0.7500 0.7500 0.7500 1
```


Most stable: <Q> (next structure +213 meV per atom)


<P>
First-principles (PBE) data for a relaxed LiFeNiB crystal, as listed in OQMD.

CIF file:
```
data_LiFeNiB
_chemical_formula_sum 'Li1 Fe1 Ni1 B1'
_symmetry_space_group_name_H-M 'P 1'
_symmetry_Int_Tables_number 1
_symmetry_space_group_name_Hall 'P 1'
_cell_length_a 3.7730
_cell_length_b 3.7730
_cell_length_c 3.7730
_cell_angle_alpha 60.00
_cell_angle_beta 60.00
_cell_angle_gamma 60.00
loop_
_atom_site_label
_atom_site_fract_x
_atom_site_fract_y
_atom_site_fract_z
_atom_site_occupancy
Li1 0.0000 0.0000 0.0000 1
Fe1 0.5000 0.5000 0.5000 1
Ni1 0.2500 0.2500 0.2500 1
B1 0.7500 0.7500 0.7500 1
```


<Q>
First-principles (PBE) data for a relaxed LiFeNiB crystal, as listed in OQMD.

CIF file:
```
data_LiFeNiB
_chemical_formula_sum 'Li1 Fe1 Ni1 B1'
_symmetry_space_group_name_H-M 'P 1'
_symmetry_Int_Tables_number 1
_symmetry_space_group_name_Hall 'P 1'
_cell_length_a 3.6636
_cell_length_b 3.6636
_cell_length_c 3.6636
_cell_angle_alpha 60.00
_cell_angle_beta 60.00
_cell_angle_gamma 60.00
loop_
_atom_site_label
_atom_site_fract_x
_atom_site_fract_y
_atom_site_fract_z
_atom_site_occupancy
Li1 0.0000 0.0000 0.0000 1
Fe1 0.7500 0.7500 0.7500 1
Ni1 0.2500 0.2500 0.2500 1
B1 0.5000 0.5000 0.5000 1
```


Most stable: <Q> (next structure +156 meV per atom)


<P>
First-principles (PBE) data for a relaxed LiFeBOs crystal, as listed in OQMD.

CIF file:
```
data_LiFeBOs
_chemical_formula_sum 'Li1 Fe1 B1 Os1'
_symmetry_space_group_name_H-M 'P 1'
_symmetry_Int_Tables_number 1
_symmetry_space_group_name_Hall 'P 1'
_cell_length_a 3.8606
_cell_length_b 3.8606
_cell_length_c 3.8606
_cell_angle_alpha 60.00
_cell_angle_beta 60.00
_cell_angle_gamma 60.00
loop_
_atom_site_label
_atom_site_fract_x
_atom_site_fract_y
_atom_site_fract_z
_atom_site_occupancy
Li1 0.0000 0.0000 0.0000 1
Fe1 0.5000 0.5000 0.5000 1
B1 0.2500 0.2500 0.2500 1
Os1 0.7500 0.7500 0.7500 1
```


<Q>
First-principles (PBE) data for a relaxed LiFeBOs crystal, as listed in OQMD.

CIF file:
```
data_LiFeBOs
_chemical_formula_sum 'Li1 Fe1 B1 Os1'
_symmetry_space_group_name_H-M 'P 1'
_symmetry_Int_Tables_number 1
_symmetry_space_group_name_Hall 'P 1'
_cell_length_a 3.8367
_cell_length_b 3.8367
_cell_length_c 3.8367
_cell_angle_alpha 60.00
_cell_angle_beta 60.00
_cell_angle_gamma 60.00
loop_
_atom_site_label
_atom_site_fract_x
_atom_site_fract_y
_atom_site_fract_z
_atom_site_occupancy
Li1 0.0000 0.0000 0.0000 1
Fe1 0.7500 0.7500 0.7500 1
B1 0.5000 0.5000 0.5000 1
Os1 0.2500 0.2500 0.2500 1
```


Most stable: <Q> (next structure +149 meV per atom)